VASP calculation (PBEsol) on a relaxed structure of CdInSn2.

The structure belongs to space group Fm-3m (No. 225); the cell edges are 7.364, 7.364 and 7.364 Å and the angles 90.00°, 90.00° and 90.00°. The distinct sites, in fractional coordinates, are Cd at (0.000, 0.000, 0.000), In at (0.000, 0.000, 0.500) and Sn at (0.250, 0.250, 0.250).

The formation energy is 0.067 eV per atom. As for the crystal system: cubic.

***

VASP calculation (PBEsol) on a relaxed structure of LiAl2Pt.

The structure belongs to space group Fm-3m (No. 225); the cell edges are 6.036, 6.036 and 6.036 Å and the angles 90.00°, 90.00° and 90.00°. The distinct sites, in fractional coordinates, are Li at (0.000, 0.000, 0.000), Al at (0.250, 0.250, 0.250) and Pt at (0.000, 0.000, 0.500).

The formation energy is -0.833 eV per atom. As for the crystal system: cubic.

***

VASP calculation (PBEsol) on a relaxed structure of LiCa2Ta3O10.

The structure belongs to space group I-4m2 (No. 119); the cell edges are 3.900, 3.900 and 27.425 Å and the angles 90.00°, 90.00° and 90.00°. The distinct sites, in fractional coordinates, are Li at (0.000, 0.000, 0.000), Ca at (0.000, 0.500, 0.167), Ta at (0.000, 0.500, 0.596), Ta at (0.000, 0.500, 0.750), O at (0.000, 0.000, 0.111), O at (0.000, 0.000, 0.250), O at (0.000, 0.000, 0.388), O at (0.000, 0.500, 0.531) and O at (0.000, 0.500, 0.679).

The uncorrected formation energy is -2.89 eV per atom. As for the crystal system: tetragonal.